# Ta3ZnCr PBE relaxed
data_Ta3ZnCr
_chemical_formula_sum 'Ta3 Zn1 Cr1'
_cell_length_a 4.609
_cell_length_b 4.609
_cell_length_c 4.609
_cell_angle_alpha 90.00
_cell_angle_beta 90.00
_cell_angle_gamma 90.00
_space_group_name_H-M_alt 'P 1'
_space_group_IT_number 1
loop_
_space_group_symop_operation_xyz
'x,y,z'
loop_
_atom_site_label
_atom_site_type_symbol
_atom_site_fract_x
_atom_site_fract_y
_atom_site_fract_z
Ta1 Ta 0.000 0.000 0.500
Ta2 Ta 0.000 0.500 0.000
Ta3 Ta 0.500 0.000 0.000
Zn1 Zn 0.500 0.500 0.500
Cr1 Cr 0.000 0.000 0.000
# Energy relative to the elements: 1.021 eV/atom
# Space group: Pm-3m (221)
# Excess energy over the best structure of this formula in the dataset: 0 meV per atom

***

# TaZn2Cr PBE relaxed
data_TaZn2Cr
_chemical_formula_sum 'Ta1 Zn2 Cr1'
_cell_length_a 3.685
_cell_length_b 3.719
_cell_length_c 4.218
_cell_angle_alpha 90.00
_cell_angle_beta 90.00
_cell_angle_gamma 90.00
_space_group_name_H-M_alt 'P 1'
_space_group_IT_number 1
loop_
_space_group_symop_operation_xyz
'x,y,z'
loop_
_atom_site_label
_atom_site_type_symbol
_atom_site_fract_x
_atom_site_fract_y
_atom_site_fract_z
Ta1 Ta 0.000 0.000 0.000
Zn1 Zn 0.000 0.500 0.500
Zn2 Zn 0.500 0.000 0.500
Cr1 Cr 0.500 0.500 0.000
# Energy relative to the elements: 0.109 eV/atom
# Space group: Pmmm (47)
# Excess energy over the best structure of this formula in the dataset: 5 meV per atom

***

# TaZnCr PBE relaxed
data_TaZnCr
_chemical_formula_sum 'Ta6 Zn6 Cr6'
_cell_length_a 12.587
_cell_length_b 12.587
_cell_length_c 12.587
_cell_angle_alpha 22.77
_cell_angle_beta 22.77
_cell_angle_gamma 22.77
_space_group_name_H-M_alt 'P 1'
_space_group_IT_number 1
loop_
_space_group_symop_operation_xyz
'x,y,z'
loop_
_atom_site_label
_atom_site_type_symbol
_atom_site_fract_x
_atom_site_fract_y
_atom_site_fract_z
Ta1 Ta 0.040 0.040 0.040
Ta2 Ta 0.179 0.179 0.179
Ta3 Ta 0.268 0.268 0.268
Ta4 Ta 0.732 0.732 0.732
Ta5 Ta 0.821 0.821 0.821
Ta6 Ta 0.960 0.960 0.960
Zn1 Zn 0.220 0.726 0.726
Zn2 Zn 0.274 0.274 0.780
Zn3 Zn 0.274 0.780 0.274
Zn4 Zn 0.726 0.220 0.726
Zn5 Zn 0.726 0.726 0.220
Zn6 Zn 0.780 0.274 0.274
Cr1 Cr 0.000 0.500 0.500
Cr2 Cr 0.384 0.384 0.384
Cr3 Cr 0.500 0.000 0.500
Cr4 Cr 0.500 0.500 0.000
Cr5 Cr 0.500 0.500 0.500
Cr6 Cr 0.616 0.616 0.616
# Energy relative to the elements: -0.034 eV/atom
# Space group: R-3m (166)
# Excess energy over the best structure of this formula in the dataset: 0 meV per atom

***

# TaZn2Cr PBE relaxed
data_TaZn2Cr
_chemical_formula_sum 'Ta1 Zn2 Cr1'
_cell_length_a 3.014
_cell_length_b 3.014
_cell_length_c 6.715
_cell_angle_alpha 90.00
_cell_angle_beta 90.00
_cell_angle_gamma 90.00
_space_group_name_H-M_alt 'P 1'
_space_group_IT_number 1
loop_
_space_group_symop_operation_xyz
'x,y,z'
loop_
_atom_site_label
_atom_site_type_symbol
_atom_site_fract_x
_atom_site_fract_y
_atom_site_fract_z
Ta1 Ta 0.000 0.000 0.000
Zn1 Zn 0.500 0.500 0.271
Zn2 Zn 0.500 0.500 0.729
Cr1 Cr 0.000 0.000 0.500
# Energy relative to the elements: 0.200 eV/atom
# Space group: P4/mmm (123)
# Excess energy over the best structure of this formula in the dataset: 95 meV per atom

***

What is the formula in the second record? TaZn2Cr

***

Among the records above, which one has the highest excess energy over the best structure of this formula in the dataset? number 4